Compound: OsRhSe
Source: Alexandria
Functional: PBEsol
Structure: optimized geometry

Unit cell a=5.871 b=5.871 c=5.871 alpha=90.00 beta=90.00 gamma=90.00
Positions (direct):
Os  0.000  0.000  0.000
Os  0.000  0.500  0.500
Os  0.500  0.000  0.500
Os  0.500  0.500  0.000
Rh  0.250  0.250  0.750
Rh  0.250  0.750  0.250
Rh  0.750  0.250  0.250
Rh  0.750  0.750  0.750
Se  0.250  0.250  0.250
Se  0.250  0.750  0.750
Se  0.750  0.250  0.750
Se  0.750  0.750  0.250

For the uncorrected formation energy, the calculation gives 0.40 eV per atom. The excess energy over the best structure of this formula in the dataset comes out at 0 kJ/mol of formula units.

=====

Compound: OsRhSe
Source: Alexandria
Functional: PBEsol
Structure: optimized geometry

Unit cell a=2.766 b=4.766 c=13.654 alpha=90.00 beta=90.00 gamma=90.00
Positions (direct):
Os  0.000  0.000  0.000
Os  0.000  0.500  0.500
Os  0.500  0.000  0.500
Os  0.500  0.500  0.000
Rh  0.000  0.000  0.660
Rh  0.000  0.500  0.160
Rh  0.500  0.000  0.160
Rh  0.500  0.500  0.660
Se  0.000  0.000  0.331
Se  0.000  0.500  0.831
Se  0.500  0.000  0.831
Se  0.500  0.500  0.331

For the uncorrected formation energy, the calculation gives 0.63 eV per atom. The excess energy over the best structure of this formula in the dataset comes out at 69 kJ/mol of formula units.

=====

Compound: OsRh2Se
Source: Alexandria
Functional: PBEsol
Structure: optimized geometry

Unit cell a=2.791 b=2.791 c=25.317 alpha=90.00 beta=90.00 gamma=120.00
Positions (direct):
Os  0.000  0.000  0.000
Os  0.333  0.667  0.667
Os  0.667  0.333  0.333
Rh  0.000  0.000  0.249
Rh  0.000  0.000  0.751
Rh  0.333  0.667  0.418
Rh  0.333  0.667  0.916
Rh  0.667  0.333  0.084
Rh  0.667  0.333  0.582
Se  0.000  0.000  0.500
Se  0.333  0.667  0.167
Se  0.667  0.333  0.833

For the uncorrected formation energy, the calculation gives 0.16 eV per atom.

=====

Compound: OsRh2Se
Source: Alexandria
Functional: PBEsol
Structure: optimized geometry

Unit cell a=2.790 b=3.752 c=5.490 alpha=90.00 beta=90.00 gamma=90.00
Positions (direct):
Os  0.000  0.000  0.000
Rh  0.500  0.500  0.237
Rh  0.500  0.500  0.763
Se  0.000  0.000  0.500

For the uncorrected formation energy, the calculation gives 0.26 eV per atom.

=====

Compound: OsRhSe2
Source: Alexandria
Functional: PBEsol
Structure: optimized geometry

Unit cell a=3.019 b=3.019 c=23.231 alpha=90.00 beta=90.00 gamma=120.00
Positions (direct):
Os  0.000  0.000  0.000
Os  0.333  0.667  0.667
Os  0.667  0.333  0.333
Rh  0.000  0.000  0.500
Rh  0.333  0.667  0.167
Rh  0.667  0.333  0.833
Se  0.000  0.000  0.251
Se  0.000  0.000  0.749
Se  0.333  0.667  0.416
Se  0.333  0.667  0.917
Se  0.667  0.333  0.083
Se  0.667  0.333  0.584

For the uncorrected formation energy, the calculation gives 0.26 eV per atom. The excess energy over the best structure of this formula in the dataset comes out at 0 kJ/mol of formula units.

=====

Compound: Tl2OsRhSe
Source: Alexandria
Functional: PBEsol
Structure: optimized geometry

Unit cell a=5.244 b=5.244 c=4.516 alpha=90.00 beta=90.00 gamma=90.00
Positions (direct):
Tl  0.000  0.500  0.000
Tl  0.500  0.000  0.000
Os  0.000  0.000  0.000
Rh  0.500  0.500  0.500
Se  0.000  0.000  0.500

For the uncorrected formation energy, the calculation gives 1.10 eV per atom.

=====

Compound: SiOsRh2
Source: Alexandria
Functional: PBEsol
Structure: optimized geometry

Unit cell a=2.707 b=2.707 c=7.147 alpha=90.00 beta=90.00 gamma=90.00
Positions (direct):
Si  0.000  0.000  0.000
Os  0.000  0.000  0.500
Rh  0.500  0.500  0.228
Rh  0.500  0.500  0.772

For the uncorrected formation energy, the calculation gives -0.27 eV per atom.

=====

Compound: SiOs2Rh
Source: Alexandria
Functional: PBEsol
Structure: optimized geometry

Unit cell a=2.729 b=4.478 c=4.488 alpha=90.00 beta=90.00 gamma=90.00
Positions (direct):
Si  0.000  0.000  0.000
Os  0.000  0.500  0.500
Os  0.500  0.000  0.500
Rh  0.500  0.500  0.000

For the uncorrected formation energy, the calculation gives 0.17 eV per atom.

=====

Compound: Si2OsRh
Source: Alexandria
Functional: PBEsol
Structure: optimized geometry

Unit cell a=3.510 b=3.510 c=8.446 alpha=90.00 beta=90.00 gamma=90.00
Positions (direct):
Si  0.000  0.000  0.000
Si  0.000  0.500  0.250
Si  0.500  0.000  0.750
Si  0.500  0.500  0.500
Os  0.000  0.000  0.500
Os  0.500  0.500  0.000
Rh  0.000  0.500  0.750
Rh  0.500  0.000  0.250

For the uncorrected formation energy, the calculation gives -0.23 eV per atom.

=====

Compound: SiOsRh2
Source: Alexandria
Functional: PBEsol
Structure: optimized geometry

Unit cell a=2.776 b=4.677 c=8.416 alpha=90.00 beta=90.00 gamma=90.00
Positions (direct):
Si  0.000  0.000  0.000
Si  0.500  0.500  0.000
Os  0.000  0.500  0.232
Os  0.500  0.000  0.232
Rh  0.000  0.000  0.501
Rh  0.000  0.500  0.779
Rh  0.500  0.000  0.779
Rh  0.500  0.500  0.501

For the uncorrected formation energy, the calculation gives 0.07 eV per atom.

=====

Compound: Si2OsRh
Source: Alexandria
Functional: PBEsol
Structure: optimized geometry

Unit cell a=8.705 b=2.897 c=4.215 alpha=90.00 beta=104.35 gamma=90.00
Positions (direct):
Si  0.000  0.000  0.000
Si  0.249  0.000  0.629
Si  0.500  0.500  0.000
Si  0.749  0.500  0.629
Os  0.013  0.500  0.516
Os  0.513  0.000  0.516
Rh  0.242  0.500  0.115
Rh  0.742  0.000  0.115

For the uncorrected formation energy, the calculation gives -0.60 eV per atom.

=====

Compound: Sr2OsRh
Source: Alexandria
Functional: PBEsol
Structure: optimized geometry

Unit cell a=3.162 b=3.162 c=8.600 alpha=90.00 beta=90.00 gamma=90.00
Positions (direct):
Sr  0.000  0.000  0.240
Sr  0.000  0.000  0.760
Os  0.500  0.500  0.500
Rh  0.500  0.500  0.000

The calculation puts the formation energy at 0.71 eV/atom. The excess energy over the best structure of this formula in the dataset comes out at 0 kJ/mol of formula units.

=====

Compound: Sr2OsRh
Source: Alexandria
Functional: PBEsol
Structure: optimized geometry

Unit cell a=9.359 b=3.006 c=6.076 alpha=90.00 beta=96.46 gamma=90.00
Positions (direct):
Sr  0.249  0.000  0.246
Sr  0.251  0.500  0.754
Sr  0.749  0.500  0.246
Sr  0.751  0.000  0.754
Os  0.000  0.000  0.500
Os  0.500  0.500  0.500
Rh  0.000  0.500  0.000
Rh  0.500  0.000  0.000

The calculation puts the formation energy at 0.86 eV/atom. The excess energy over the best structure of this formula in the dataset comes out at 60 kJ/mol of formula units.

=====

Compound: SrOs2Rh
Source: Alexandria
Functional: PBEsol
Structure: optimized geometry

Unit cell a=3.831 b=3.831 c=4.629 alpha=90.00 beta=90.00 gamma=90.00
Positions (direct):
Sr  0.000  0.000  0.000
Os  0.000  0.500  0.500
Os  0.500  0.000  0.500
Rh  0.500  0.500  0.000

The calculation puts the formation energy at 0.98 eV/atom. The excess energy over the best structure of this formula in the dataset comes out at 157 kJ/mol of formula units.

=====

Compound: Sr2OsRh
Source: Alexandria
Functional: PBEsol
Structure: optimized geometry

Unit cell a=7.064 b=7.064 c=7.064 alpha=90.00 beta=90.00 gamma=90.00
Positions (direct):
Sr  0.250  0.250  0.250
Sr  0.250  0.250  0.750
Sr  0.250  0.750  0.250
Sr  0.250  0.750  0.750
Sr  0.750  0.250  0.250
Sr  0.750  0.250  0.750
Sr  0.750  0.750  0.250
Sr  0.750  0.750  0.750
Os  0.000  0.000  0.000
Os  0.000  0.500  0.500
Os  0.500  0.000  0.500
Os  0.500  0.500  0.000
Rh  0.000  0.000  0.500
Rh  0.000  0.500  0.000
Rh  0.500  0.000  0.000
Rh  0.500  0.500  0.500

The calculation puts the formation energy at 0.79 eV/atom. The excess energy over the best structure of this formula in the dataset comes out at 31 kJ/mol of formula units.

=====

Compound: SrOs2Rh
Source: Alexandria
Functional: PBEsol
Structure: optimized geometry

Unit cell a=2.763 b=4.632 c=10.564 alpha=90.00 beta=90.00 gamma=90.00
Positions (direct):
Sr  0.000  0.000  0.000
Sr  0.500  0.500  0.500
Os  0.000  0.500  0.218
Os  0.000  0.500  0.782
Os  0.500  0.000  0.282
Os  0.500  0.000  0.718
Rh  0.000  0.000  0.500
Rh  0.500  0.500  0.000

The calculation puts the formation energy at 0.57 eV/atom. The excess energy over the best structure of this formula in the dataset comes out at 0 kJ/mol of formula units.

=====

Compound: SrOsRh2
Source: Alexandria
Functional: PBEsol
Structure: optimized geometry

Unit cell a=6.445 b=6.445 c=6.445 alpha=90.00 beta=90.00 gamma=90.00
Positions (direct):
Sr  0.000  0.000  0.000
Sr  0.000  0.500  0.500
Sr  0.500  0.000  0.500
Sr  0.500  0.500  0.000
Os  0.250  0.250  0.750
Os  0.250  0.750  0.250
Os  0.750  0.250  0.250
Os  0.750  0.750  0.750
Rh  0.000  0.000  0.500
Rh  0.000  0.500  0.000
Rh  0.250  0.250  0.250
Rh  0.250  0.750  0.750
Rh  0.500  0.000  0.000
Rh  0.500  0.500  0.500
Rh  0.750  0.250  0.750
Rh  0.750  0.750  0.250

The calculation puts the formation energy at 0.85 eV/atom.

=====

Compound: SrOs2Rh
Source: Alexandria
Functional: PBEsol
Structure: optimized geometry

Unit cell a=3.913 b=3.913 c=8.808 alpha=90.00 beta=90.00 gamma=90.00
Positions (direct):
Sr  0.000  0.000  0.000
Sr  0.500  0.500  0.500
Os  0.000  0.500  0.250
Os  0.000  0.500  0.750
Os  0.500  0.000  0.250
Os  0.500  0.000  0.750
Rh  0.000  0.000  0.500
Rh  0.500  0.500  0.000

The calculation puts the formation energy at 1.03 eV/atom. The excess energy over the best structure of this formula in the dataset comes out at 176 kJ/mol of formula units.

=====

Compound: SrOsRh3
Source: Alexandria
Functional: PBEsol
Structure: optimized geometry

Unit cell a=4.674 b=4.674 c=4.674 alpha=90.00 beta=90.00 gamma=90.00
Positions (direct):
Sr  0.000  0.000  0.000
Os  0.500  0.500  0.500
Rh  0.000  0.000  0.500
Rh  0.000  0.500  0.000
Rh  0.500  0.000  0.000

The calculation puts the formation energy at 2.73 eV/atom.

=====

Compound: Ta2OsRh
Source: Alexandria
Functional: PBEsol
Structure: optimized geometry

Unit cell a=2.930 b=4.510 c=4.752 alpha=90.00 beta=90.00 gamma=90.00
Positions (direct):
Ta  0.000  0.000  0.000
Ta  0.000  0.500  0.435
Os  0.500  0.000  0.496
Rh  0.500  0.500  0.903

The calculation puts the formation energy at -0.33 eV/atom.

=====

no.,uncorrected energy (eV per atom)
1,-7.671
2,-7.434
3,-7.926
4,-7.829
5,-6.756
6,-4.790
7,-8.826
8,-9.411
9,-8.196
10,-8.485
11,-8.561
12,-5.302
13,-5.146
14,-7.623
15,-5.221
16,-8.031
17,-6.731
18,-7.574
19,-4.967
20,-11.696